Model w:
Entry from Alexandria: a relaxed BeFeBr2 crystal (PBE).

a = 3.630 Å, b = 3.630 Å, c = 7.472 Å
α = 91.11°, β = 91.11°, γ = 56.94°
Fractional coordinates of all 4 atoms:
Be 0.000 0.000 0.000
Fe 0.308 0.308 0.144
Br 0.387 0.387 0.825
Br 0.672 0.672 0.347

Calculated values
- space-group type = Cm (8)
- D(E_F) (states/eV/atom) = 0.441

---

Model x:
Entry from Alexandria: a relaxed BeFeBr2 crystal (PBE).

a = 4.648 Å, b = 4.648 Å, c = 4.648 Å
α = 60.00°, β = 60.00°, γ = 60.00°
Fractional coordinates of all 4 atoms:
Be 0.000 0.000 0.000
Fe 0.500 0.500 0.500
Br 0.250 0.250 0.250
Br 0.750 0.750 0.750

Calculated values
- space-group type = Fm-3m (225)
- D(E_F) (states/eV/atom) = 0.505

---

Model y:
Entry from Alexandria: a relaxed BeFeBr2 crystal (PBE).

a = 7.184 Å, b = 7.184 Å, c = 7.184 Å
α = 151.25°, β = 151.25°, γ = 41.11°
Fractional coordinates of all 4 atoms:
Be 0.000 0.000 0.000
Fe 0.750 0.250 0.500
Br 0.250 0.750 0.500
Br 0.500 0.500 0.000

Calculated values
- space-group type = I-4m2 (119)
- D(E_F) (states/eV/atom) = 1.044

---

So which one is most stable? That would be model w, about 0.607 eV/atom below the next structure.